Record 1
Computed, not measured: an optimized crystal structure of KCaLaCl6 at the PBE level of DFT.

Cell: 7.3225 7.3225 13.3781 Å, 90.00 90.00 120.00°
Space group P-31c (No. 163)
Asymmetric unit:
K 0.0000 0.0000 0.0000 (multiplicity 2)
Ca 0.3333 0.6667 0.2500 (multiplicity 2)
La 0.3333 0.6667 0.7500 (multiplicity 2)
Cl 0.0043 0.3676 0.1364 (multiplicity 12)

- D(E_F) (states/eV/f.u.) = 0.000
- formation energy without anion corrections (meV/atom) = -2314


Record 2
Computed, not measured: an optimized crystal structure of Pm6Sm2Hg at the PBE level of DFT.

Cell: 9.6074 9.6074 3.7352 Å, 90.00 90.00 120.00°
Space group P-62m (No. 189)
Asymmetric unit:
Pm 0.0000 0.2697 0.0000 (multiplicity 3)
Pm 0.0000 0.6193 0.5000 (multiplicity 3)
Sm 0.3333 0.6667 0.0000 (multiplicity 2)
Hg 0.0000 0.0000 0.5000 (multiplicity 1)

- energy of formation (eV per formula unit) = -0.887
- D(E_F) (states/eV/f.u.) = 10.630
- polymorph energy (0 for the lowest one) (eV per atom) = 0.000


Record 3
Computed, not measured: an optimized crystal structure of Tl16Hg7Sb6 at the PBE level of DFT.

Cell: 15.4390 15.4390 15.4390 Å, 90.00 90.00 90.00°
Space group Fm-3m (No. 225)
Asymmetric unit:
Tl 0.1193 0.1193 0.1193 (multiplicity 32)
Tl 0.1555 0.1555 0.3445 (multiplicity 32)
Hg 0.0000 0.0000 0.0000 (multiplicity 4)
Hg 0.0000 0.2500 0.2500 (multiplicity 24)
Sb 0.0000 0.0000 0.3528 (multiplicity 24)

- D(E_F) (states/eV/f.u.) = 21.851
- formation energy without anion corrections (meV/atom) = 90


Record 4
Computed, not measured: an optimized crystal structure of InGa2O at the PBE level of DFT.

Cell: 5.3964 5.3964 11.2187 Å, 90.00 90.00 90.00°
Space group I-42d (No. 122)
Asymmetric unit:
In 0.0000 0.0000 0.0000 (multiplicity 4)
Ga 0.1444 0.2500 0.6250 (multiplicity 8)
O 0.0000 0.0000 0.5000 (multiplicity 4)

- D(E_F) (states/eV/f.u.) = 0.617
- polymorph energy (0 for the lowest one) (eV per atom) = 0.000
- formation energy without anion corrections (meV/atom) = -421


Record 5
Computed, not measured: an optimized crystal structure of Sm2DyY3Sb6 at the PBE level of DFT.

Cell: 7.6526 13.2563 7.6465 Å, 90.00 109.48 90.00°
Space group C2/m (No. 12)
Asymmetric unit:
Sm 0.0000 0.1662 0.0000 (multiplicity 4)
Dy 0.0000 0.5000 0.0000 (multiplicity 2)
Y 0.0000 0.0000 0.5000 (multiplicity 2)
Y 0.0000 0.3319 0.5000 (multiplicity 4)
Sb 0.2452 0.5000 0.7458 (multiplicity 4)
Sb 0.2492 0.3348 0.2528 (multiplicity 8)

- D(E_F) (states/eV/f.u.) = 2.209
- formation energy without anion corrections (meV/atom) = -1162


Record 6
Computed, not measured: an optimized crystal structure of KP3 at the PBE level of DFT.

Cell: 3.1343 6.0892 9.2440 Å, 90.00 90.00 90.00°
Space group Immm (No. 71)
Asymmetric unit:
K 0.0000 0.0000 0.0000 (multiplicity 2)
P 0.0000 0.0000 0.5000 (multiplicity 2)
P 0.0000 0.5000 0.1763 (multiplicity 4)

- energy of formation (eV per formula unit) = 0.551
- D(E_F) (states/eV/f.u.) = 1.383
- polymorph energy (0 for the lowest one) (eV per atom) = 0.239


Record 7
Computed, not measured: an optimized crystal structure of Ca2TbAl at the PBE level of DFT.

Cell: 3.5427 3.5427 35.5963 Å, 90.00 90.00 120.00°
Space group R-3m (No. 166, hexagonal axes)
Asymmetric unit:
Ca 0.0000 0.0000 0.0977 (multiplicity 6)
Tb 0.0000 0.0000 0.0000 (multiplicity 3)
Al 0.0000 0.0000 0.5000 (multiplicity 3)

- energy of formation (eV per formula unit) = 0.769
- D(E_F) (states/eV/f.u.) = 4.087


Record 8
Computed, not measured: an optimized crystal structure of La2BeP at the PBE level of DFT.

Cell: 7.6727 7.6727 7.6423 Å, 90.00 90.00 90.00°
Space group I-42d (No. 122)
Asymmetric unit:
La 0.2462 0.7500 0.1250 (multiplicity 8)
Be 0.0000 0.0000 0.5000 (multiplicity 4)
P 0.0000 0.0000 0.0000 (multiplicity 4)

- energy of formation (eV per formula unit) = -0.887
- D(E_F) (states/eV/f.u.) = 6.919
- polymorph energy (0 for the lowest one) (eV per atom) = 0.463


Record 9
Computed, not measured: an optimized crystal structure of DyPuFeCu at the PBE level of DFT.

Cell: 6.8099 6.8099 6.8099 Å, 90.00 90.00 90.00°
Space group F-43m (No. 216)
Asymmetric unit:
Dy 0.0000 0.0000 0.0000 (multiplicity 4)
Pu 0.0000 0.0000 0.5000 (multiplicity 4)
Fe 0.2500 0.2500 0.7500 (multiplicity 4)
Cu 0.2500 0.2500 0.2500 (multiplicity 4)

- energy of formation (eV per formula unit) = 0.307
- D(E_F) (states/eV/f.u.) = 10.564


Record 10
Computed, not measured: an optimized crystal structure of Cu2SiP at the PBE level of DFT.

Cell: 3.4422 3.4422 4.6128 Å, 90.00 90.00 90.00°
Space group P4mm (No. 99)
Asymmetric unit:
Cu 0.0000 0.0000 0.0000 (multiplicity 1)
Cu 0.5000 0.5000 0.2117 (multiplicity 1)
Si 0.5000 0.5000 0.7122 (multiplicity 1)
P 0.0000 0.0000 0.5010 (multiplicity 1)

- D(E_F) (states/eV/f.u.) = 1.404
- formation energy without anion corrections (meV/atom) = 169


Record 11
Computed, not measured: an optimized crystal structure of LiIn2ReSi at the PBE level of DFT.

Cell: 4.7451 4.7451 4.2966 Å, 90.00 90.00 90.00°
Space group P4/mmm (No. 123)
Asymmetric unit:
Li 0.0000 0.0000 0.0000 (multiplicity 1)
In 0.0000 0.5000 0.0000 (multiplicity 2)
Re 0.5000 0.5000 0.5000 (multiplicity 1)
Si 0.0000 0.0000 0.5000 (multiplicity 1)

- D(E_F) (states/eV/f.u.) = 2.958
- formation energy without anion corrections (meV/atom) = 1220


Record 12
Computed, not measured: an optimized crystal structure of MgTa2Se at the PBE level of DFT.

Cell: 6.6558 6.6558 6.6558 Å, 90.00 90.00 90.00°
Space group F-43m (No. 216)
Asymmetric unit:
Mg 0.0000 0.0000 0.0000 (multiplicity 4)
Ta 0.0000 0.0000 0.5000 (multiplicity 4)
Ta 0.2500 0.2500 0.7500 (multiplicity 4)
Se 0.2500 0.2500 0.2500 (multiplicity 4)

- D(E_F) (states/eV/f.u.) = 5.790
- polymorph energy (0 for the lowest one) (eV per atom) = 0.481
- formation energy without anion corrections (meV/atom) = 467


Record 13
Computed, not measured: an optimized crystal structure of LiY2Rh at the PBE level of DFT.

Cell: 4.2854 3.9459 10.7174 Å, 90.00 90.00 90.00°
Space group Amm2 (No. 38)
Asymmetric unit:
Li 0.0000 0.0000 0.0000 (multiplicity 2)
Y 0.0000 0.0000 0.7033 (multiplicity 2)
Y 0.5000 0.0000 0.4235 (multiplicity 2)
Rh 0.5000 0.0000 0.1411 (multiplicity 2)

- energy of formation (eV per formula unit) = -1.426
- D(E_F) (states/eV/f.u.) = 4.404


Record 14
Computed, not measured: an optimized crystal structure of MgMn2Co at the PBE level of DFT.

Cell: 5.1470 8.7279 2.5864 Å, 90.00 114.74 90.00°
Space group C2/m (No. 12)
Asymmetric unit:
Mg 0.0000 0.0000 0.0000 (multiplicity 2)
Mn 0.2500 0.2500 0.5000 (multiplicity 4)
Co 0.0000 0.5000 0.0000 (multiplicity 2)

- energy of formation (eV per formula unit) = 1.321
- D(E_F) (states/eV/f.u.) = 4.808
- polymorph energy (0 for the lowest one) (eV per atom) = 0.199


Record 15
Computed, not measured: an optimized crystal structure of ScVAgCl6 at the PBE level of DFT.

Cell: 6.3282 6.3282 12.3510 Å, 90.00 90.00 120.00°
Space group P-31c (No. 163)
Asymmetric unit:
Sc 0.3333 0.6667 0.2500 (multiplicity 2)
V 0.3333 0.6667 0.7500 (multiplicity 2)
Ag 0.0000 0.0000 0.0000 (multiplicity 2)
Cl 0.0046 0.3573 0.6345 (multiplicity 12)

- formation energy without anion corrections (meV/atom) = -1411


Record 16
Computed, not measured: an optimized crystal structure of LaTcSb2Te at the PBE level of DFT.

Cell: 5.0410 5.0410 5.8575 Å, 90.00 90.00 90.00°
Space group P4/mmm (No. 123)
Asymmetric unit:
La 0.0000 0.0000 0.0000 (multiplicity 1)
Tc 0.5000 0.5000 0.5000 (multiplicity 1)
Sb 0.0000 0.5000 0.5000 (multiplicity 2)
Te 0.5000 0.5000 0.0000 (multiplicity 1)

- D(E_F) (states/eV/f.u.) = 3.519
- polymorph energy (0 for the lowest one) (eV per atom) = 0.000
- formation energy without anion corrections (meV/atom) = -130


Record 17
Computed, not measured: an optimized crystal structure of Pr8SbTe4P3 at the PBE level of DFT.

Cell: 8.7314 8.7314 22.1930 Å, 90.00 90.00 120.00°
Space group R-3m (No. 166, hexagonal axes)
Asymmetric unit:
Pr 0.0000 0.0000 0.2378 (multiplicity 6)
Pr 0.0147 0.5074 0.7597 (multiplicity 18)
Sb 0.0000 0.0000 0.5000 (multiplicity 3)
Te 0.0000 0.0000 0.0000 (multiplicity 3)
Te 0.0000 0.5000 0.0000 (multiplicity 9)
P 0.0000 0.5000 0.5000 (multiplicity 9)

- D(E_F) (states/eV/f.u.) = 6.269
- formation energy without anion corrections (meV/atom) = -1501


Record 18
Computed, not measured: an optimized crystal structure of Pr3InRh at the PBE level of DFT.

Cell: 5.5095 5.5095 5.5095 Å, 90.00 90.00 90.00°
Space group Pm-3m (No. 221)
Asymmetric unit:
Pr 0.0000 0.0000 0.5000 (multiplicity 3)
In 0.5000 0.5000 0.5000 (multiplicity 1)
Rh 0.0000 0.0000 0.0000 (multiplicity 1)

- energy of formation (eV per formula unit) = -1.446
- D(E_F) (states/eV/f.u.) = 6.398
- polymorph energy (0 for the lowest one) (eV per atom) = 0.146


Record 19
Computed, not measured: an optimized crystal structure of FeNi at the PBE level of DFT.

Cell: 2.5280 2.5280 8.2209 Å, 90.00 90.00 120.00°
Space group P6_3/mmc (No. 194)
Asymmetric unit:
Fe 0.0000 0.0000 0.0000 (multiplicity 2)
Ni 0.3333 0.6667 0.2500 (multiplicity 2)

- energy of formation (eV per formula unit) = 0.015
- D(E_F) (states/eV/f.u.) = 2.189


Record 20
Computed, not measured: an optimized crystal structure of Cs2SnO at the PBE level of DFT.

Cell: 8.2843 8.2843 8.2843 Å, 90.00 90.00 90.00°
Space group Fm-3m (No. 225)
Asymmetric unit:
Cs 0.2500 0.2500 0.2500 (multiplicity 8)
Sn 0.0000 0.0000 0.0000 (multiplicity 4)
O 0.0000 0.0000 0.5000 (multiplicity 4)

- D(E_F) (states/eV/f.u.) = 5.957
- polymorph energy (0 for the lowest one) (eV per atom) = 0.701
- formation energy without anion corrections (meV/atom) = 196


| no. | uncorrected energy (eV/atom) |
| --- | --- |
| 1 | -4.437 |
| 2 | -4.348 |
| 3 | -2.141 |
| 4 | -3.859 |
| 5 | -6.010 |
| 6 | -4.194 |
| 7 | -2.902 |
| 8 | -4.970 |
| 9 | -7.796 |
| 10 | -4.587 |
| 11 | -3.832 |
| 12 | -6.730 |
| 13 | -5.905 |
| 14 | -6.430 |
| 15 | -4.675 |
| 16 | -5.466 |
| 17 | -5.948 |
| 18 | -5.175 |
| 19 | -7.115 |
| 20 | -2.471 |